Record 1
Below is crystalline Sr5CaO6 at its relaxed geometry, with properties calculated at the PBE level.

Unit cell a=6.308 b=6.308 c=6.301 alpha=99.59 beta=99.59 gamma=120.01
Sites, in units of the cell vectors:
1 Sr 0.000 0.000 0.000
2 Sr 0.167 0.833 0.500
3 Sr 0.335 0.665 0.000
4 Sr 0.665 0.335 0.000
5 Sr 0.833 0.167 0.500
6 Ca 0.500 0.500 0.500
7 O 0.094 0.418 0.254
8 O 0.258 0.258 0.744
9 O 0.418 0.094 0.254
10 O 0.582 0.906 0.746
11 O 0.742 0.742 0.256
12 O 0.906 0.582 0.746

## Properties
Space-group type = C2/m (12)
Volume = 204.7 Å³/cell
Formation energy (no corrections) = -33.05 eV per formula unit
DOS at the Fermi energy = 0.00 states/eV/cell


Record 2
Below is crystalline Tb13Ga2 at its relaxed geometry, with properties calculated at the PBE level.

Unit cell a=6.638 b=8.238 c=9.417 alpha=64.28 beta=81.48 gamma=79.94
Sites, in units of the cell vectors:
1 Tb 0.000 0.000 0.000
2 Tb 0.038 0.225 0.336
3 Tb 0.183 0.645 0.359
4 Tb 0.238 0.578 0.009
5 Tb 0.279 0.348 0.765
6 Tb 0.440 0.069 0.149
7 Tb 0.478 0.767 0.575
8 Tb 0.522 0.233 0.425
9 Tb 0.560 0.931 0.851
10 Tb 0.721 0.652 0.235
11 Tb 0.762 0.422 0.991
12 Tb 0.817 0.355 0.641
13 Tb 0.962 0.775 0.664
14 Ga 0.181 0.052 0.674
15 Ga 0.819 0.948 0.326

## Properties
Space-group type = P-1 (2)
Formation energy from the elements = -0.09 eV/atom
Volume = 455.3 Å³/cell
DOS at the Fermi energy = 18.22 states/eV/cell


Record 3
Below is crystalline Tl2Ge2I at its relaxed geometry, with properties calculated at the PBE level.

Unit cell a=9.064 b=9.064 c=3.927 alpha=90.00 beta=90.00 gamma=90.00
Sites, in units of the cell vectors:
1 Tl 0.203 0.297 0.000
2 Tl 0.297 0.797 0.000
3 Tl 0.703 0.203 0.000
4 Tl 0.797 0.703 0.000
5 Ge 0.094 0.594 0.500
6 Ge 0.406 0.094 0.500
7 Ge 0.594 0.906 0.500
8 Ge 0.906 0.406 0.500
9 I 0.000 0.000 0.000
10 I 0.500 0.500 0.000

## Properties
Space-group type = P4/mbm (127)
Volume = 322.6 Å³/cell
E above lowest polymorph = 173 meV per atom
Formation energy (no corrections) = 0.99 eV per formula unit
DOS at the Fermi energy = 4.13 states/eV/cell


Record 4
Below is crystalline La2Tb5Dy5 at its relaxed geometry, with properties calculated at the PBE level.

Unit cell a=8.035 b=8.035 c=11.335 alpha=115.15 beta=115.15 gamma=36.79
Sites, in units of the cell vectors:
1 La 0.083 0.083 0.249
2 La 0.917 0.917 0.751
3 Tb 0.000 0.000 0.500
4 Tb 0.168 0.168 0.000
5 Tb 0.247 0.247 0.748
6 Tb 0.753 0.753 0.252
7 Tb 0.832 0.832 0.000
8 Dy 0.334 0.334 0.499
9 Dy 0.415 0.415 0.250
10 Dy 0.500 0.500 0.000
11 Dy 0.585 0.585 0.750
12 Dy 0.666 0.666 0.501

## Properties
Space-group type = C2/m (12)
Formation energy from the elements = 0.03 eV/atom
Volume = 391.8 Å³/cell
DOS at the Fermi energy = 18.54 states/eV/cell


| no. | calculated density (g/cm³) | final energy (eV/atom) |
| --- | --- | --- |
| 1 | 4.66 | -6.10 |
| 2 | 8.04 | -4.51 |
| 3 | 7.01 | -2.91 |
| 4 | 7.99 | -4.64 |